4
Lattice="0.000 3.631 3.631 3.631 0.000 3.631 3.631 3.631 0.000" Properties=species:S:1:pos:R:3 comment="NbAgBi2 (PBE, optimized geometry)" spacegroup="No. 225" total_energy_ry_per_atom=-0.3471 density_g_cm3=10.73 formation_energy_ev_per_fu=1.79 pbc="T T T"
Bi 5.447 5.447 5.447
Bi 1.816 1.816 1.816
Nb 0.000 0.000 0.000
Ag 3.631 3.631 3.631

=====

80
Lattice="9.805 0.000 0.000 -3.268 9.244 0.000 -3.268 -4.622 8.005" Properties=species:S:1:pos:R:3 comment="Sc3Ti5H12 (PBE, optimized geometry)" spacegroup="No. 230" total_energy_ry_per_atom=-0.3955 density_g_cm3=3.54 pbc="T T T"
Sc -2.451 -1.733 7.005
Sc 5.719 2.889 1.001
Sc 5.719 6.355 1.001
Sc 2.451 5.200 5.003
Sc -0.817 4.044 5.003
Sc 0.817 -0.578 3.002
Sc 4.085 0.578 3.002
Sc 7.353 0.000 2.001
Sc 0.817 4.622 2.001
Sc -4.085 4.622 6.004
Sc 2.451 0.000 6.004
Sc -2.451 1.733 7.005
H 4.272 7.232 2.262
H -0.282 5.769 0.612
H -3.125 3.573 7.563
H 3.760 4.127 6.264
H 5.906 -3.263 6.876
H 1.004 0.654 4.615
H 5.045 8.195 0.442
H 1.777 -1.404 4.690
H -1.352 0.043 6.706
H 1.491 6.026 3.315
H 6.045 0.556 3.561
H -3.899 2.610 5.744
H 3.550 -1.147 7.394
H 1.142 3.571 5.302
H 2.126 1.050 2.704
H -0.282 3.519 0.687
H 5.394 -0.495 1.741
H -1.142 -0.556 3.561
H -3.411 6.791 2.873
H 4.621 4.578 1.299
H -1.004 3.263 6.876
H 1.352 1.147 7.394
H -1.777 2.169 5.132
H -1.777 -3.573 7.563
H 1.916 5.725 0.687
H -2.126 5.117 6.264
H 4.272 1.359 1.129
H 6.818 4.665 1.299
H 0.143 3.218 3.315
H 5.045 2.453 2.873
H -1.004 -2.610 5.744
H 0.492 5.672 5.302
H 3.550 1.103 7.318
H -0.631 5.276 3.391
H 2.776 -1.050 2.704
H -3.550 -0.043 6.706
H 6.679 -2.169 5.132
H 1.352 -1.103 7.318
H 1.916 3.475 0.612
H 6.393 1.049 0.442
H -2.638 7.885 1.129
H -2.776 4.066 4.445
H 3.899 -0.654 4.615
H 3.125 1.404 4.690
H 2.265 3.968 3.391
H 4.411 5.178 4.445
H -0.492 0.495 1.741
H 7.167 2.012 2.262
Ti -2.451 5.200 3.002
Ti -0.817 2.311 2.001
Ti -3.268 2.311 4.003
Ti 1.634 2.311 4.003
Ti 4.902 0.000 0.000
Ti 3.268 4.622 0.000
Ti 0.817 2.889 7.005
Ti -0.817 7.511 1.001
Ti 4.085 4.044 3.002
Ti -1.634 -2.311 4.003
Ti 0.817 -2.311 6.004
Ti -1.634 4.622 0.000
Ti 0.000 0.000 0.000
Ti 5.719 -0.578 5.003
Ti 3.268 -2.311 4.003
Ti 4.085 2.311 6.004
Ti 4.085 -2.889 7.005
Ti 2.451 1.733 1.001
Ti -0.817 0.578 5.003
Ti 2.451 6.933 2.001